An optimized crystal structure of Sr3MgO4, computed with PBE-GGA.

a b c (Å): 7.4355 7.4355 3.3755
angles (deg): 90.00 90.00 128.64
Positions (direct):
O (0.7919, 0.7919, 0.5000)
O (0.5000, 0.0000, 0.0000)
Mg (0.0000, 0.0000, 0.0000)
Sr (0.7967, 0.2033, 0.5000)
O (0.0000, 0.5000, 0.0000)
O (0.2081, 0.2081, 0.5000)
Sr (0.5000, 0.5000, 0.0000)
Sr (0.2033, 0.7967, 0.5000)

Values from the calculation:
Raw formation energy (eV/atom): -2.2692
Total energy (eV per atom): -5.5783
SG: No. 65
ρ (g/cm3): 4.000

=====

An optimized crystal structure of Sr2Mg2O, computed with PBE-GGA.

a b c (Å): 3.7464 3.7464 9.6893
angles (deg): 78.85 78.85 90.00
Positions (direct):
Sr (0.5837, 0.5837, 0.8326)
Sr (0.4163, 0.4163, 0.1674)
Mg (0.2500, 0.7500, 0.5000)
Mg (0.7500, 0.2500, 0.5000)
O (0.0000, 0.0000, 0.0000)

Values from the calculation:
Raw formation energy (eV/atom): -0.4800
Total energy (eV per atom): -2.7822
SG: No. 139
ρ (g/cm3): 3.045

=====

An optimized crystal structure of Sr2Mg2O, computed with PBE-GGA.

a b c (Å): 6.8573 6.8573 6.5803
angles (deg): 90.00 90.00 90.00
Positions (direct):
Sr (0.2954, 0.7954, 0.0000)
O (0.5000, 0.5000, 0.0000)
Mg (0.3475, 0.1525, 0.5000)
Sr (0.7046, 0.2046, 0.0000)
Mg (0.6525, 0.8475, 0.5000)
Mg (0.8475, 0.3475, 0.5000)
Sr (0.7954, 0.7046, 0.0000)
Sr (0.2046, 0.2954, 0.0000)
Mg (0.1525, 0.6525, 0.5000)
O (0.0000, 0.0000, 0.0000)

Values from the calculation:
Raw formation energy (eV/atom): -0.7006
Total energy (eV per atom): -3.0028
SG: No. 127
ρ (g/cm3): 2.574

=====

An optimized crystal structure of Sr2MgO, computed with PBE-GGA.

a b c (Å): 7.4236 7.4236 7.1175
angles (deg): 58.57 58.57 90.00
Positions (direct):
Mg (0.0000, 0.0000, 0.0000)
Sr (0.3750, 0.5050, 0.7500)
Mg (0.7500, 0.2500, 0.5000)
O (0.2500, 0.7500, 0.5000)
Sr (0.4950, 0.1250, 0.2500)
Sr (0.2550, 0.6250, 0.2500)
Sr (0.8750, 0.7450, 0.7500)
O (0.5000, 0.5000, 0.0000)

Values from the calculation:
Raw formation energy (eV/atom): -1.2277
Total energy (eV per atom): -3.7068
SG: No. 122
ρ (g/cm3): 2.702

=====

An optimized crystal structure of SrMg3O4, computed with PBE-GGA.

a b c (Å): 4.6135 4.6135 4.6135
angles (deg): 90.00 90.00 90.00
Positions (direct):
Mg (0.5000, 0.5000, 0.0000)
O (0.0000, 0.5000, 0.0000)
Mg (0.0000, 0.5000, 0.5000)
Sr (0.0000, 0.0000, 0.0000)
Mg (0.5000, 0.0000, 0.5000)
O (0.0000, 0.0000, 0.5000)
O (0.5000, 0.0000, 0.0000)
O (0.5000, 0.5000, 0.5000)

Values from the calculation:
Raw formation energy (eV/atom): -2.3708
Total energy (eV per atom): -5.6581
SG: No. 221
ρ (g/cm3): 3.797

=====

An optimized crystal structure of Sr2MgO, computed with PBE-GGA.

a b c (Å): 3.6993 3.6993 10.1395
angles (deg): 79.49 79.49 60.00
Last column: magnetic moment on the atom in μB.
Positions (direct):
O (0.5000, 0.5000, 0.5000)  0.00
Sr (0.8834, 0.8834, 0.3498)  0.07
Sr (0.1166, 0.1166, 0.6502)  0.07
Mg (0.0000, 0.0000, 0.0000)  0.00

Values from the calculation:
Raw formation energy (eV/atom): -1.0331
Total energy (eV per atom): -3.5123
SG: No. 166
ρ (g/cm3): 3.047

=====

An optimized crystal structure of SrMg2TaO, computed with PBE-GGA.

a b c (Å): 4.4621 5.0239 4.4621
angles (deg): 90.00 90.00 90.00
Last column: magnetic moment on the atom in μB.
Positions (direct):
O (0.0000, 0.0000, 0.0000)  0.05
Ta (0.5000, 0.5000, 0.5000)  1.23
Sr (0.0000, 0.5000, 0.0000)  0.07
Mg (0.5000, 0.0000, 0.0000)  0.01
Mg (0.0000, 0.0000, 0.5000)  0.00

Values from the calculation:
Raw formation energy (eV/atom): -0.1502
Total energy (eV per atom): -4.4866
SG: No. 123
ρ (g/cm3): 5.531

=====

An optimized crystal structure of Sr4MgTc3O12, computed with PBE-GGA.

a b c (Å): 6.8839 6.8839 6.8839
angles (deg): 109.47 109.47 109.47
Last column: magnetic moment on the atom in μB.
Positions (direct):
O (0.0000, 0.7439, 0.7439)  0.03
Sr (0.5000, 0.0000, 0.0000)  0.00
O (0.2561, 0.0000, 0.2561)  0.03
Sr (0.0000, 0.0000, 0.5000)  0.00
O (0.5000, 0.7500, 0.2500)  -0.01
Tc (0.0000, 0.5000, 0.5000)  0.21
O (0.7500, 0.2500, 0.5000)  -0.01
Sr (0.5000, 0.5000, 0.5000)  0.00
O (0.2500, 0.7500, 0.5000)  -0.01
Mg (0.0000, 0.0000, 0.0000)  0.00
Tc (0.5000, 0.5000, 0.0000)  0.21
O (0.0000, 0.2561, 0.2561)  0.03
O (0.5000, 0.2500, 0.7500)  -0.01
O (0.7439, 0.0000, 0.7439)  0.03
Sr (0.0000, 0.5000, 0.0000)  0.00
O (0.2500, 0.5000, 0.7500)  -0.01
Tc (0.5000, 0.0000, 0.5000)  0.21
O (0.7500, 0.5000, 0.2500)  -0.01
O (0.2561, 0.2561, 0.0000)  0.03
O (0.7439, 0.7439, 0.0000)  0.03

Values from the calculation:
Raw formation energy (eV/atom): -2.2082
Total energy (eV per atom): -7.1542
SG: No. 229
ρ (g/cm3): 5.692

=====

An optimized crystal structure of SrMgTc2O8, computed with PBE-GGA.

a b c (Å): 5.7418 5.7418 6.8859
angles (deg): 90.00 90.00 120.00
Last column: magnetic moment on the atom in μB.
Positions (direct):
O (0.1599, 0.8397, 0.6948)  0.05
O (0.6667, 0.3333, 0.9754)  0.09
O (0.8397, 0.6798, 0.3052)  0.05
O (0.6798, 0.8401, 0.6948)  0.05
Sr (0.0000, 0.0000, 0.0000)  0.01
Tc (0.3333, 0.6667, 0.7679)  0.66
O (0.3202, 0.1599, 0.3052)  0.05
O (0.8401, 0.1603, 0.3052)  0.05
Tc (0.6667, 0.3333, 0.2321)  0.66
Mg (0.0000, 0.0000, 0.5000)  0.00
O (0.1603, 0.3202, 0.6948)  0.05
O (0.3333, 0.6667, 0.0246)  0.09

Values from the calculation:
Raw formation energy (eV/atom): -1.8700
Total energy (eV per atom): -7.1762
SG: No. 164
ρ (g/cm3): 3.682

=====

An optimized crystal structure of Sr3Mg2TcO8, computed with PBE-GGA.

a b c (Å): 5.6067 5.6067 7.3359
angles (deg): 90.00 90.00 120.00
Last column: magnetic moment on the atom in μB.
Positions (direct):
O (0.8396, 0.1604, 0.6574)  0.02
O (0.3207, 0.1604, 0.6574)  0.02
O (0.1604, 0.3207, 0.3426)  0.02
O (0.6793, 0.8396, 0.3426)  0.02
Sr (0.3333, 0.6667, 0.6366)  0.01
O (0.1604, 0.8396, 0.3426)  0.02
O (0.3333, 0.6667, 0.9430)  -0.01
O (0.6667, 0.3333, 0.0570)  -0.01
Sr (0.0000, 0.0000, 0.0000)  0.00
O (0.8396, 0.6793, 0.6574)  0.02
Tc (0.0000, 0.0000, 0.5000)  0.78
Mg (0.3333, 0.6667, 0.1971)  0.00
Sr (0.6667, 0.3333, 0.3634)  0.01
Mg (0.6667, 0.3333, 0.8029)  0.00

Values from the calculation:
Raw formation energy (eV/atom): -2.2555
Total energy (eV per atom): -6.4173
SG: No. 164
ρ (g/cm3): 4.469

=====

An optimized crystal structure of SrMg6TiO8, computed with PBE-GGA.

a b c (Å): 4.4802 4.4802 8.8125
angles (deg): 90.00 90.00 90.00
Last column: magnetic moment on the atom in μB.
Positions (direct):
Ti (0.0000, 0.0000, 0.0000)  1.50
O (0.5000, 0.0000, 0.0000)  -0.01
O (0.0000, 0.5000, 0.5000)  0.00
O (0.0000, 0.0000, 0.7431)  0.01
Mg (0.0000, 0.5000, 0.7368)  0.00
Mg (0.5000, 0.0000, 0.2632)  0.00
O (0.5000, 0.5000, 0.7263)  0.00
O (0.5000, 0.5000, 0.2737)  0.00
Mg (0.5000, 0.5000, 0.5000)  0.00
Mg (0.5000, 0.0000, 0.7368)  0.00
Mg (0.0000, 0.5000, 0.2632)  0.00
O (0.5000, 0.0000, 0.5000)  0.00
O (0.0000, 0.5000, 0.0000)  -0.01
Sr (0.5000, 0.5000, 0.0000)  0.03
Mg (0.0000, 0.0000, 0.5000)  0.00
O (0.0000, 0.0000, 0.2569)  0.01

Values from the calculation:
Raw formation energy (eV/atom): -2.4381
Total energy (eV per atom): -6.1137
SG: No. 123
ρ (g/cm3): 3.842